Version w
Computed, not measured: crystalline LaPr4Sm5 at its relaxed geometry at the GGA-PBE level of DFT.

For the spin magnetization, the calculation gives 0.0000 μB per atom. As for the crystal system: tetragonal.

abc: 3.6944 3.6944 25.8424
angles: 90.00 90.00 90.00
Element x y z (fractional)
La 0.0000 0.0000 0.0000
Pr 0.0000 0.0000 0.2005
Pr 0.0000 0.0000 0.4002
Pr 0.0000 0.0000 0.5998
Pr 0.0000 0.0000 0.7995
Sm 0.5000 0.5000 0.1008
Sm 0.5000 0.5000 0.3004
Sm 0.5000 0.5000 0.5000
Sm 0.5000 0.5000 0.6996
Sm 0.5000 0.5000 0.8992

---

Version x
Computed, not measured: crystalline LaPr4Sm5 at its relaxed geometry at the GGA-PBE level of DFT.

For the spin magnetization, the calculation gives 0.0000 μB per atom. As for the crystal system: monoclinic.

abc: 3.5248 6.9639 14.6512
angles: 97.19 96.91 90.00
Element x y z (fractional)
La 0.5000 0.0000 0.0000
Pr 0.6084 0.8040 0.2168
Pr 0.9045 0.6961 0.8089
Pr 0.3916 0.1960 0.7832
Pr 0.0955 0.3039 0.1911
Sm 0.2032 0.6020 0.4064
Sm 0.2067 0.1019 0.4134
Sm 0.7933 0.8981 0.5866
Sm 0.5000 0.5000 0.0000
Sm 0.7968 0.3980 0.5936

---

version w (110 meV per atom below the next structure)